Here is a relaxed Ho3Co2Ni7 crystal from OQMD via LeMat-Bulk. Energies are from PBE.

a = 8.5694 Å, b = 8.5694 Å, c = 8.5694 Å
α = 33.41°, β = 33.41°, γ = 33.41°
Last column: magnetic moment on the atom in μB.
Positions (direct):
1 Co 0.3329 0.3329 0.3329  1.40
2 Co 0.6671 0.6671 0.6671  1.40
3 Ho 0.0000 0.0000 0.0000  -0.13
4 Ho 0.1388 0.1388 0.1388  -0.10
5 Ho 0.8612 0.8612 0.8612  -0.10
6 Ni 0.5822 0.5822 0.0811  0.23
7 Ni 0.9189 0.4178 0.4177  0.24
8 Ni 0.4178 0.9189 0.4177  0.26
9 Ni 0.5000 0.5000 0.5000  0.03
10 Ni 0.5822 0.0811 0.5823  0.26
11 Ni 0.0811 0.5822 0.5823  0.24
12 Ni 0.4178 0.4178 0.9189  0.23

Computed properties:
Space-group type   R-3m, No. 166
Energy relative to the elements   -0.36 eV per atom